Record 1
Entry from Alexandria: an optimized crystal structure of SrAc4In5 (PBE-GGA).

## Properties
crystal system: tetragonal
energy: -36.0 eV for the cell shown

abc: 4.0865 4.0865 20.6879
angles: 90.00 90.00 90.00
Closest atoms and distances in Å follow each position.
Space group P4/mmm (No. 123)
Symmetry-distinct sites (fractional):
Sr  0.0000  0.0000  0.0000 x1  8 In 3.54
Ac  0.0000  0.0000  0.1985 x2  8 In 3.55-3.58
Ac  0.0000  0.0000  0.4004 x2  8 In 3.55
In  0.5000  0.5000  0.0990 x2  4 Sr 3.54, 4 Ac 3.55
In  0.5000  0.5000  0.3008 x2  8 Ac 3.55-3.58
In  0.5000  0.5000  0.5000 x1  8 Ac 3.55

Record 2
Entry from Alexandria: an optimized crystal structure of K4AgAu (PBE-GGA).

## Properties
crystal system: monoclinic
energy above the lowest structure with this stoichiometry: 0 kJ/mol of formula units

abc: 10.6871 15.4281 7.5581
angles: 90.00 122.44 90.00
Closest atoms and distances in Å follow each position.
Space group C2/c (No. 15)
Symmetry-distinct sites (fractional):
K  0.1201  0.1759  0.0900 x8  2 Au 3.48, 2 Ag 3.62-3.65
K  0.2016  0.4391  0.2762 x8  2 Au 3.41-3.43, 2 Ag 3.54-3.64
Ag  0.0000  0.3658  0.7500 x4  8 K 3.54-3.65
Au  0.0000  0.0000  0.2500 x4  8 K 3.41-3.48, 2 Au 3.78

Record 3
Entry from Alexandria: an optimized crystal structure of TaIn2As (PBE-GGA).

## Properties
crystal system: cubic
energy: -79.2 eV for the cell shown

abc: 6.9366 6.9366 6.9366
angles: 90.00 90.00 90.00
Closest atoms and distances in Å follow each position.
Space group F-43m (No. 216)
Symmetry-distinct sites (fractional):
Ta  0.0000  0.0000  0.0000 x4  4 In 3.00, 4 As 3.00
In  0.0000  0.0000  0.5000 x4  4 As 3.00, 4 In 3.00
In  0.2500  0.2500  0.2500 x4  4 In 3.00, 4 Ta 3.00
As  0.2500  0.2500  0.7500 x4  4 Ta 3.00, 4 In 3.00

Record 4
Entry from Alexandria: an optimized crystal structure of Dy2HoThSe4 (PBE-GGA).

## Properties
crystal system: monoclinic
E_form (uncorrected): -1.673 eV per atom

abc: 7.1123 4.0612 7.1682
angles: 90.00 108.99 90.00
Closest atoms and distances in Å follow each position.
Space group P2/m (No. 10)
Symmetry-distinct sites (fractional):
Dy  0.0000  0.0000  0.0000 x1  6 Se 2.91-2.92
Dy  0.0000  0.5000  0.5000 x1  6 Se 2.84-2.85
Ho  0.5000  0.0000  0.5000 x1  6 Se 2.89-2.90
Th  0.5000  0.5000  0.0000 x1  6 Se 2.96
Se  0.2410  0.0000  0.7394 x2  3 Dy 2.84-2.92, 1 Ho 2.90, 2 Th 2.96
Se  0.2468  0.5000  0.2561 x2  3 Dy 2.85-2.91, 2 Ho 2.89, 1 Th 2.96